(1)
# Mg2SbRhBr, relaxed, DFT GGA-PBE
# M_tot in μB per cell: 0.0
# E in eV/atom: -3.620
# Formation energy from raw total energies in meV per atom: -353.2
data_Mg2SbRhBr
_space_group_name_H-M_alt 'P 4/m m m'
_space_group_IT_number 123
_space_group_name_Hall '-P 4 2'
_cell_length_a 5.245
_cell_length_b 5.245
_cell_length_c 4.837
_cell_angle_alpha 90.00
_cell_angle_beta 90.00
_cell_angle_gamma 90.00
loop_
_atom_site_label
_atom_site_type_symbol
_atom_site_fract_x
_atom_site_fract_y
_atom_site_fract_z
Mg1 Mg 0.000 0.500 0.000
Sb1 Sb 0.000 0.000 0.500
Rh1 Rh 0.000 0.000 0.000
Br1 Br 0.500 0.500 0.500

(2)
# BaAc2Gd, relaxed, DFT GGA-PBE
# M_tot in μB per cell: 7.6
# E in eV/atom: -5.987
data_BaAc2Gd
_space_group_name_H-M_alt 'P 4/m m m'
_space_group_IT_number 123
_space_group_name_Hall '-P 4 2'
_cell_length_a 3.992
_cell_length_b 3.992
_cell_length_c 11.217
_cell_angle_alpha 90.00
_cell_angle_beta 90.00
_cell_angle_gamma 90.00
loop_
_atom_site_label
_atom_site_type_symbol
_atom_site_fract_x
_atom_site_fract_y
_atom_site_fract_z
Ba1 Ba 0.000 0.000 0.000
Ac1 Ac 0.500 0.500 0.282
Gd1 Gd 0.000 0.000 0.500

(3)
# Pr8Nd4Ho3, relaxed, DFT GGA-PBE
# M_tot in μB per cell: 0.0
# E in eV/atom: -4.431
data_Pr8Nd4Ho3
_space_group_name_H-M_alt 'C 1 2/m 1'
_space_group_IT_number 12
_cell_length_a 14.172
_cell_length_b 12.388
_cell_length_c 6.934
_cell_angle_alpha 90.00
_cell_angle_beta 119.06
_cell_angle_gamma 90.00
loop_
_space_group_symop_operation_xyz
'x,y,z'
'-x,-y,-z'
'-x,y,-z'
'x,-y,z'
'x+1/2,y+1/2,z'
'-x+1/2,-y+1/2,-z'
'-x+1/2,y+1/2,-z'
'x+1/2,-y+1/2,z'
loop_
_atom_site_label
_atom_site_type_symbol
_atom_site_fract_x
_atom_site_fract_y
_atom_site_fract_z
Pr1 Pr 0.000 0.202 0.000
Pr2 Pr 0.000 0.252 0.500
Pr3 Pr 0.202 0.000 0.197
Pr4 Pr 0.248 0.500 0.252
Nd1 Nd 0.000 0.500 0.000
Nd2 Nd 0.000 0.500 0.500
Nd3 Nd 0.250 0.250 0.500
Ho1 Ho 0.000 0.000 0.500
Ho2 Ho 0.250 0.250 0.000

(4)
# AcPuBr, relaxed, DFT GGA-PBE
# M_tot in μB per cell: 3.7
# E in eV/atom: -7.424
# Formation energy from raw total energies in meV per atom: -719.2
data_AcPuBr
_space_group_name_H-M_alt 'P 1 21/m 1'
_space_group_IT_number 11
_cell_length_a 8.377
_cell_length_b 4.270
_cell_length_c 10.687
_cell_angle_alpha 90.00
_cell_angle_beta 102.97
_cell_angle_gamma 90.00
loop_
_space_group_symop_operation_xyz
'x,y,z'
'-x,-y,-z'
'-x,y+1/2,-z'
'x,-y+1/2,z'
loop_
_atom_site_label
_atom_site_type_symbol
_atom_site_fract_x
_atom_site_fract_y
_atom_site_fract_z
Ac1 Ac 0.029 0.250 0.155
Ac2 Ac 0.424 0.750 0.701
Pu1 Pu 0.340 0.750 0.061
Pu2 Pu 0.369 0.250 0.955
Br1 Br 0.132 0.250 0.656
Br2 Br 0.321 0.750 0.372

(5)
# Zr2CdIr, relaxed, DFT GGA-PBE
# M_tot in μB per cell: 0.0
# E in eV/atom: -7.038
data_Zr2CdIr
_space_group_name_H-M_alt 'C m m m'
_space_group_IT_number 65
_space_group_name_Hall '-C 2 2'
_cell_length_a 6.205
_cell_length_b 7.972
_cell_length_c 3.150
_cell_angle_alpha 90.00
_cell_angle_beta 90.00
_cell_angle_gamma 90.00
loop_
_atom_site_label
_atom_site_type_symbol
_atom_site_fract_x
_atom_site_fract_y
_atom_site_fract_z
Zr1 Zr 0.250 0.250 0.000
Cd1 Cd 0.000 0.000 0.500
Ir1 Ir 0.000 0.500 0.500

(6)
# Ag3AsS2, relaxed, DFT GGA-PBE
# M_tot in μB per cell: 0.0
# E in eV/atom: -3.438
# Formation energy from raw total energies in meV per atom: 138.8
data_Ag3AsS2
_space_group_name_H-M_alt 'I b a m'
_space_group_IT_number 72
_space_group_name_Hall '-I 2 2c'
_cell_length_a 7.479
_cell_length_b 10.300
_cell_length_c 6.427
_cell_angle_alpha 90.00
_cell_angle_beta 90.00
_cell_angle_gamma 90.00
loop_
_atom_site_label
_atom_site_type_symbol
_atom_site_fract_x
_atom_site_fract_y
_atom_site_fract_z
Ag1 Ag 0.000 0.000 0.250
Ag2 Ag 0.000 0.282 0.250
As1 As 0.000 0.500 0.000
S1 S 0.202 0.132 0.000

(7)
# Ho7Hg2Ru2, relaxed, DFT GGA-PBE
# M_tot in μB per cell: 0.0
# E in eV/atom: -4.929
data_Ho7Hg2Ru2
_space_group_name_H-M_alt 'C m m m'
_space_group_IT_number 65
_space_group_name_Hall '-C 2 2'
_cell_length_a 7.885
_cell_length_b 10.800
_cell_length_c 7.120
_cell_angle_alpha 90.00
_cell_angle_beta 90.00
_cell_angle_gamma 90.00
loop_
_atom_site_label
_atom_site_type_symbol
_atom_site_fract_x
_atom_site_fract_y
_atom_site_fract_z
Ho1 Ho 0.000 0.000 0.000
Ho2 Ho 0.000 0.500 0.242
Ho3 Ho 0.250 0.250 0.252
Hg1 Hg 0.185 0.000 0.500
Ru1 Ru 0.000 0.294 0.000

(8)
# Mg3ZrSn, relaxed, DFT GGA-PBE
# M_tot in μB per cell: 0.0
# E in eV/atom: -2.734
data_Mg3ZrSn
_space_group_name_H-M_alt 'P m -3 m'
_space_group_IT_number 221
_space_group_name_Hall '-P 4 2 3'
_cell_length_a 5.225
_cell_length_b 5.225
_cell_length_c 5.225
_cell_angle_alpha 90.00
_cell_angle_beta 90.00
_cell_angle_gamma 90.00
loop_
_atom_site_label
_atom_site_type_symbol
_atom_site_fract_x
_atom_site_fract_y
_atom_site_fract_z
Mg1 Mg 0.000 0.000 0.500
Zr1 Zr 0.500 0.500 0.500
Sn1 Sn 0.000 0.000 0.000

(9)
# Tb3Nd6Tm2Tl, relaxed, DFT GGA-PBE
# M_tot in μB per cell: 0.0
# E in eV/atom: -4.488
data_Tb3Nd6Tm2Tl
_space_group_name_H-M_alt 'C 1 2/m 1'
_space_group_IT_number 12
_cell_length_a 6.219
_cell_length_b 10.806
_cell_length_c 11.794
_cell_angle_alpha 90.00
_cell_angle_beta 100.31
_cell_angle_gamma 90.00
loop_
_space_group_symop_operation_xyz
'x,y,z'
'-x,-y,-z'
'-x,y,-z'
'x,-y,z'
'x+1/2,y+1/2,z'
'-x+1/2,-y+1/2,-z'
'-x+1/2,y+1/2,-z'
'x+1/2,-y+1/2,z'
loop_
_atom_site_label
_atom_site_type_symbol
_atom_site_fract_x
_atom_site_fract_y
_atom_site_fract_z
Tb1 Tb 0.000 0.000 0.000
Tb2 Tb 0.000 0.332 0.000
Nd1 Nd 0.246 0.336 0.746
Nd2 Nd 0.247 0.500 0.252
Tm1 Tm 0.000 0.166 0.500
Tl1 Tl 0.000 0.500 0.500

(10)
# Ti2SiSb, relaxed, DFT GGA-PBE
# M_tot in μB per cell: 0.0
# E in eV/atom: -5.953
# Formation energy from raw total energies in meV per atom: 380.6
data_Ti2SiSb
_space_group_name_H-M_alt 'I -4 2 d'
_space_group_IT_number 122
_space_group_name_Hall 'I -4 2bw'
_cell_length_a 5.932
_cell_length_b 5.932
_cell_length_c 12.227
_cell_angle_alpha 90.00
_cell_angle_beta 90.00
_cell_angle_gamma 90.00
loop_
_atom_site_label
_atom_site_type_symbol
_atom_site_fract_x
_atom_site_fract_y
_atom_site_fract_z
Ti1 Ti 0.211 0.250 0.125
Si1 Si 0.000 0.000 0.000
Sb1 Sb 0.000 0.000 0.500

(11)
# MnSbPI2, relaxed, DFT GGA-PBE
# M_tot in μB per cell: 2.2
# E in eV/atom: -3.562
# Formation energy from raw total energies in meV per atom: 798.0
data_MnSbPI2
_space_group_name_H-M_alt 'P 4/m m m'
_space_group_IT_number 123
_space_group_name_Hall '-P 4 2'
_cell_length_a 5.099
_cell_length_b 5.099
_cell_length_c 5.058
_cell_angle_alpha 90.00
_cell_angle_beta 90.00
_cell_angle_gamma 90.00
loop_
_atom_site_label
_atom_site_type_symbol
_atom_site_fract_x
_atom_site_fract_y
_atom_site_fract_z
Mn1 Mn 0.000 0.000 0.000
Sb1 Sb 0.000 0.000 0.500
P1 P 0.500 0.500 0.500
I1 I 0.000 0.500 0.000

(12)
# YNi6Sn2, relaxed, DFT GGA-PBE
# M_tot in μB per cell: 0.0
# E in eV/atom: -5.548
data_YNi6Sn2
_space_group_name_H-M_alt 'I m m m'
_space_group_IT_number 71
_space_group_name_Hall '-I 2 2'
_cell_length_a 3.580
_cell_length_b 6.388
_cell_length_c 12.516
_cell_angle_alpha 90.00
_cell_angle_beta 90.00
_cell_angle_gamma 90.00
loop_
_atom_site_label
_atom_site_type_symbol
_atom_site_fract_x
_atom_site_fract_y
_atom_site_fract_z
Y1 Y 0.000 0.000 0.000
Ni1 Ni 0.000 0.178 0.500
Ni2 Ni 0.000 0.305 0.319
Sn1 Sn 0.000 0.500 0.138